Compound: KMnTc3
Source: the Alexandria database
Functional: meta-GGA SCAN
Structure: PBEsol geometry

```
KMnTc3
1.0
4.361 0.000 0.000
0.000 4.361 0.000
0.000 0.000 4.361
K Mn Tc
1 1 3
direct
0.000 0.000 0.000 K
0.500 0.500 0.500 Mn
0.000 0.000 0.500 Tc
0.000 0.500 0.000 Tc
0.500 0.000 0.000 Tc
```

Energy ... -23.361 eV per atom
V ... 16.59 Å³/atom
SG ... Pm-3m

Compound: KMnTc2
Source: the Alexandria database
Functional: meta-GGA SCAN
Structure: PBEsol geometry

```
KMnTc2
1.0
2.706 0.000 0.000
-1.353 2.343 0.000
0.000 0.000 29.869
K Mn Tc
3 3 6
direct
0.000 0.000 0.000 K
0.333 0.667 0.667 K
0.667 0.333 0.333 K
0.000 0.000 0.500 Mn
0.333 0.667 0.167 Mn
0.667 0.333 0.833 Mn
0.000 0.000 0.233 Tc
0.000 0.000 0.767 Tc
0.333 0.667 0.434 Tc
0.333 0.667 0.899 Tc
0.667 0.333 0.101 Tc
0.667 0.333 0.566 Tc
```

V ... 15.78 Å³/atom
Relative energy among the computed polymorphs ... 0 kJ/mol of formula units
SG ... R-3m

Compound: K2MnTc
Source: the Alexandria database
Functional: meta-GGA SCAN
Structure: PBEsol geometry

```
K2MnTc
1.0
2.841 0.000 0.000
0.000 4.890 0.000
0.000 0.000 5.880
K Mn Tc
2 1 1
direct
0.000 0.000 0.000 K
0.500 0.500 0.000 K
0.000 0.500 0.500 Mn
0.500 0.000 0.500 Tc
```

Energy ... -16.290 eV per atom
V ... 20.42 Å³/atom
SG ... Pmmm

Compound: KMnTc2
Source: the Alexandria database
Functional: meta-GGA SCAN
Structure: PBEsol geometry

```
KMnTc2
1.0
6.357 0.000 0.000
0.000 6.357 0.000
0.000 0.000 6.357
K Mn Tc
4 4 8
direct
0.000 0.000 0.000 K
0.000 0.500 0.500 K
0.500 0.000 0.500 K
0.500 0.500 0.000 K
0.250 0.250 0.250 Mn
0.250 0.750 0.750 Mn
0.750 0.250 0.750 Mn
0.750 0.750 0.250 Mn
0.000 0.000 0.500 Tc
0.000 0.500 0.000 Tc
0.250 0.250 0.750 Tc
0.250 0.750 0.250 Tc
0.500 0.000 0.000 Tc
0.500 0.500 0.500 Tc
0.750 0.250 0.250 Tc
0.750 0.750 0.750 Tc
```

V ... 16.06 Å³/atom
Relative energy among the computed polymorphs ... 194 kJ/mol of formula units
SG ... F-43m

Copy entry 4 word for word.
Compound: KMnTc2
Source: the Alexandria database
Functional: meta-GGA SCAN
Structure: PBEsol geometry

```
KMnTc2
1.0
6.357 0.000 0.000
0.000 6.357 0.000
0.000 0.000 6.357
K Mn Tc
4 4 8
direct
0.000 0.000 0.000 K
0.000 0.500 0.500 K
0.500 0.000 0.500 K
0.500 0.500 0.000 K
0.250 0.250 0.250 Mn
0.250 0.750 0.750 Mn
0.750 0.250 0.750 Mn
0.750 0.750 0.250 Mn
0.000 0.000 0.500 Tc
0.000 0.500 0.000 Tc
0.250 0.250 0.750 Tc
0.250 0.750 0.250 Tc
0.500 0.000 0.000 Tc
0.500 0.500 0.500 Tc
0.750 0.250 0.250 Tc
0.750 0.750 0.750 Tc
```

V ... 16.06 Å³/atom
Relative energy among the computed polymorphs ... 194 kJ/mol of formula units
SG ... F-43m